# AlMo2W

A PBEsol-optimized structure of AlMo2W (meta-GGA SCAN, the Alexandria database).

```
data_AlMo2W
_chemical_formula_sum 'Al2 Mo4 W2'
_symmetry_space_group_name_H-M 'I 4/m m m'
_symmetry_Int_Tables_number 139
_symmetry_space_group_name_Hall '-I 4 2'
_cell_length_a 3.716
_cell_length_b 3.716
_cell_length_c 8.777
_cell_angle_alpha 90.00
_cell_angle_beta 90.00
_cell_angle_gamma 90.00
loop_
_atom_site_label
_atom_site_type_symbol
_atom_site_fract_x
_atom_site_fract_y
_atom_site_fract_z
Al1 Al 0.000 0.000 0.000
Mo1 Mo 0.000 0.500 0.250
W1 W 0.000 0.000 0.500
```

Computed properties:
Fermi-level density of states: 2.89 states/eV/f.u.
ΔE_f: 0.109 eV per atom
spin magnetization: 0.00 μB per formula unit